No. 1
# PBE-GGA KNiGe2, relaxed
data_KNiGe2
_symmetry_space_group_name_H-M 'R -3 m'
_symmetry_Int_Tables_number 166
_symmetry_space_group_name_Hall '-R 3 2"'
_cell_length_a 4.0346
_cell_length_b 4.0346
_cell_length_c 19.4451
_cell_angle_alpha 90.00
_cell_angle_beta 90.00
_cell_angle_gamma 120.00
loop_
_atom_site_label
_atom_site_fract_x
_atom_site_fract_y
_atom_site_fract_z
K1 0.0000 0.0000 0.0000
Ni1 0.0000 0.0000 0.5000
Ge1 0.0000 0.0000 0.2052
# DFT formation energy   -0.180 eV per atom

***

No. 2
# PBE-GGA ScB2Mo, relaxed
data_ScB2Mo
_symmetry_space_group_name_H-M 'I -4 2 d'
_symmetry_Int_Tables_number 122
_symmetry_space_group_name_Hall 'I -4 2bw'
_cell_length_a 5.095
_cell_length_b 5.095
_cell_length_c 10.144
_cell_angle_alpha 90.00
_cell_angle_beta 90.00
_cell_angle_gamma 90.00
loop_
_atom_site_label
_atom_site_fract_x
_atom_site_fract_y
_atom_site_fract_z
Sc1 0.000 0.000 0.000
B1 0.196 0.250 0.625
Mo1 0.000 0.000 0.500
# DFT formation energy   0.553 eV per atom

***

No. 3
# PBE-GGA Hf12In5Au2, relaxed
data_Hf12In5Au2
_symmetry_space_group_name_H-M 'C 1 2/m 1'
_symmetry_Int_Tables_number 12
_cell_length_a 12.928
_cell_length_b 8.483
_cell_length_c 7.731
_cell_angle_alpha 90.00
_cell_angle_beta 90.53
_cell_angle_gamma 90.00
loop_
_symmetry_equiv_pos_as_xyz
'x,y,z'
'-x,-y,-z'
'-x,y,-z'
'x,-y,z'
'x+1/2,y+1/2,z'
'-x+1/2,-y+1/2,-z'
'-x+1/2,y+1/2,-z'
'x+1/2,-y+1/2,z'
loop_
_atom_site_label
_atom_site_fract_x
_atom_site_fract_y
_atom_site_fract_z
Hf1 0.062 0.000 0.300
Hf2 0.082 0.500 0.872
Hf3 0.112 0.189 0.620
Hf4 0.147 0.320 0.234
In1 0.000 0.500 0.500
In2 0.184 0.000 0.960
In3 0.229 0.500 0.578
Au1 0.000 0.202 0.000
# DFT formation energy   -0.036 eV per atom

***

No. 4
# PBE-GGA Y2ScGa4Cu3, relaxed
data_Y2ScGa4Cu3
_symmetry_space_group_name_H-M 'P -4 m 2'
_symmetry_Int_Tables_number 115
_cell_length_a 4.076
_cell_length_b 4.076
_cell_length_c 11.199
_cell_angle_alpha 90.00
_cell_angle_beta 90.00
_cell_angle_gamma 90.00
loop_
_symmetry_equiv_pos_as_xyz
'x,y,z'
'y,-x,-z'
'-x,-y,z'
'-y,x,-z'
'-x,y,z'
'-y,-x,-z'
'x,-y,z'
'y,x,-z'
loop_
_atom_site_label
_atom_site_fract_x
_atom_site_fract_y
_atom_site_fract_z
Y1 0.000 0.500 0.230
Sc1 0.000 0.000 0.500
Ga1 0.000 0.000 0.000
Ga2 0.000 0.500 0.660
Ga3 0.500 0.500 0.000
Cu1 0.000 0.500 0.872
Cu2 0.500 0.500 0.500
# DFT formation energy   -0.448 eV per atom

***

No. 5
# PBE-GGA MnAl2W, relaxed
data_MnAl2W
_symmetry_space_group_name_H-M 'I -4 2 d'
_symmetry_Int_Tables_number 122
_symmetry_space_group_name_Hall 'I -4 2bw'
_cell_length_a 6.836
_cell_length_b 6.836
_cell_length_c 5.315
_cell_angle_alpha 90.00
_cell_angle_beta 90.00
_cell_angle_gamma 90.00
loop_
_atom_site_label
_atom_site_fract_x
_atom_site_fract_y
_atom_site_fract_z
Mn1 0.000 0.000 0.000
Al1 0.228 0.250 0.125
W1 0.000 0.000 0.500
# DFT formation energy   0.466 eV per atom

***

No. 6
# PBE-GGA PuThCdOs, relaxed
data_PuThCdOs
_symmetry_space_group_name_H-M 'F -4 3 m'
_symmetry_Int_Tables_number 216
_symmetry_space_group_name_Hall 'F -4 2 3'
_cell_length_a 7.238
_cell_length_b 7.238
_cell_length_c 7.238
_cell_angle_alpha 90.00
_cell_angle_beta 90.00
_cell_angle_gamma 90.00
loop_
_atom_site_label
_atom_site_fract_x
_atom_site_fract_y
_atom_site_fract_z
Pu1 0.000 0.000 0.000
Th1 0.000 0.000 0.500
Cd1 0.250 0.250 0.750
Os1 0.250 0.250 0.250
# DFT formation energy   0.033 eV per atom

***

No. 7
# PBE-GGA Pm4InSe5, relaxed
data_Pm4InSe5
_symmetry_space_group_name_H-M 'R -3 m'
_symmetry_Int_Tables_number 166
_symmetry_space_group_name_Hall '-R 3 2"'
_cell_length_a 4.2077
_cell_length_b 4.2077
_cell_length_c 54.2261
_cell_angle_alpha 90.00
_cell_angle_beta 90.00
_cell_angle_gamma 120.00
loop_
_atom_site_label
_atom_site_fract_x
_atom_site_fract_y
_atom_site_fract_z
Pm1 0.0000 0.0000 0.0949
Pm2 0.0000 0.0000 0.3017
In1 0.0000 0.0000 0.5000
Se1 0.0000 0.0000 0.0000
Se2 0.0000 0.0000 0.2075
Se3 0.0000 0.0000 0.3966
# Formation energy from raw total energies   -1.62 eV/atom

***

No. 8
# PBE-GGA KY2Mg, relaxed
data_KY2Mg
_symmetry_space_group_name_H-M 'C m m m'
_symmetry_Int_Tables_number 65
_symmetry_space_group_name_Hall '-C 2 2'
_cell_length_a 6.847
_cell_length_b 11.775
_cell_length_c 3.398
_cell_angle_alpha 90.00
_cell_angle_beta 90.00
_cell_angle_gamma 90.00
loop_
_atom_site_label
_atom_site_fract_x
_atom_site_fract_y
_atom_site_fract_z
K1 0.000 0.000 0.000
Y1 0.250 0.250 0.500
Mg1 0.000 0.500 0.000
# DFT formation energy   0.456 eV per atom

***

No. 9
# PBE-GGA Tm2Sc3Zn3, relaxed
data_Tm2Sc3Zn3
_symmetry_space_group_name_H-M 'I m m m'
_symmetry_Int_Tables_number 71
_symmetry_space_group_name_Hall '-I 2 2'
_cell_length_a 3.457
_cell_length_b 4.881
_cell_length_c 20.406
_cell_angle_alpha 90.00
_cell_angle_beta 90.00
_cell_angle_gamma 90.00
loop_
_atom_site_label
_atom_site_fract_x
_atom_site_fract_y
_atom_site_fract_z
Tm1 0.000 0.000 0.228
Sc1 0.000 0.000 0.000
Sc2 0.000 0.500 0.117
Zn1 0.000 0.000 0.500
Zn2 0.000 0.500 0.389
# DFT formation energy   -0.230 eV per atom

***

No. 10
# PBE-GGA Na2Mo2C, relaxed
data_Na2Mo2C
_symmetry_space_group_name_H-M 'I 4/m m m'
_symmetry_Int_Tables_number 139
_symmetry_space_group_name_Hall '-I 4 2'
_cell_length_a 6.230
_cell_length_b 6.230
_cell_length_c 5.989
_cell_angle_alpha 90.00
_cell_angle_beta 90.00
_cell_angle_gamma 90.00
loop_
_atom_site_label
_atom_site_fract_x
_atom_site_fract_y
_atom_site_fract_z
Na1 0.000 0.500 0.250
Mo1 0.000 0.000 0.177
C1 0.000 0.000 0.500
# DFT formation energy   1.640 eV per atom

***

Number 1: Fermi-level density of states 0.97 states/eV per atom, V 274 Å³ per cell. Number 2: Fermi-level density of states 0.59 states/eV per atom, V 263 Å³ per cell. Number 3: Fermi-level density of states 1.06 states/eV per atom, V 848 Å³ per cell. Number 4: Fermi-level density of states 0.64 states/eV per atom, V 186 Å³ per cell. Number 5: Fermi-level density of states 0.73 states/eV per atom, V 248 Å³ per cell. Number 6: Fermi-level density of states 2.06 states/eV per atom, V 379 Å³ per cell. Number 7: Fermi-level density of states 0.50 states/eV per atom, V 831 Å³ per cell. Number 8: Fermi-level density of states 1.43 states/eV per atom, V 274 Å³ per cell. Number 9: Fermi-level density of states 0.93 states/eV per atom, V 344 Å³ per cell. Number 10: Fermi-level density of states 0.76 states/eV per atom, V 232 Å³ per cell.